ThCu2Si2: PBEsol geometry, meta-GGA SCAN.

Calculated values
For the formation energy (no corrections), the calculation gives -0.563 eV/atom. The density comes out at 8.5 g/cm³. As for the energy: -298.3 eV per cell.

abc: 4.0798 4.0798 9.7064
angles: 90.00 90.00 90.00
Space group I4/mmm (No. 139)
Symmetry-distinct sites (fractional):
Th1 0.0000 0.0000 0.0000
Cu1 0.0000 0.5000 0.2500
Si1 0.0000 0.0000 0.3773